a | # TlIn3Mo, optimized geometry, DFT PBE-GGA
data_TlIn3Mo
_chemical_formula_sum 'Tl1 In3 Mo1'
_cell_length_a 5.333
_cell_length_b 5.333
_cell_length_c 5.333
_cell_angle_alpha 90.00
_cell_angle_beta 90.00
_cell_angle_gamma 90.00
_symmetry_space_group_name_H-M 'P m -3 m'
_symmetry_Int_Tables_number 221
_symmetry_space_group_name_Hall '-P 4 2 3'
loop_
_atom_site_label
_atom_site_type_symbol
_atom_site_fract_x
_atom_site_fract_y
_atom_site_fract_z
Tl1 Tl 0.000 0.000 0.000
In1 In 0.000 0.500 0.500
Mo1 Mo 0.500 0.500 0.500
# **Calculated density**: 7.06 g/cm3
# **Total moment**: 0.00 μB/cell


b | # TlIn3Mo, optimized geometry, DFT PBE-GGA
data_TlIn3Mo
_chemical_formula_sum 'Tl1 In3 Mo1'
_cell_length_a 5.665
_cell_length_b 5.665
_cell_length_c 5.665
_cell_angle_alpha 90.00
_cell_angle_beta 90.00
_cell_angle_gamma 90.00
_symmetry_space_group_name_H-M 'P m -3 m'
_symmetry_Int_Tables_number 221
_symmetry_space_group_name_Hall '-P 4 2 3'
loop_
_atom_site_label
_atom_site_type_symbol
_atom_site_fract_x
_atom_site_fract_y
_atom_site_fract_z
Tl1 Tl 0.000 0.000 0.000
In1 In 0.000 0.000 0.500
Mo1 Mo 0.500 0.500 0.500
# **Calculated density**: 5.89 g/cm3
# **Total moment**: 4.73 μB/cell


Stability summary: most stable a, least stable b.


a | # VIn2Mo, optimized geometry, DFT PBE-GGA
data_VIn2Mo
_chemical_formula_sum 'V4 In8 Mo4'
_cell_length_a 7.468
_cell_length_b 7.468
_cell_length_c 5.651
_cell_angle_alpha 90.00
_cell_angle_beta 90.00
_cell_angle_gamma 90.00
_symmetry_space_group_name_H-M 'I -4 2 d'
_symmetry_Int_Tables_number 122
_symmetry_space_group_name_Hall 'I -4 2bw'
loop_
_atom_site_label
_atom_site_type_symbol
_atom_site_fract_x
_atom_site_fract_y
_atom_site_fract_z
V1 V 0.000 0.000 0.000
In1 In 0.243 0.250 0.125
Mo1 Mo 0.000 0.000 0.500
# **Calculated density**: 7.94 g/cm3
# **Total moment**: 2.69 μB/cell


b | # VIn2Mo, optimized geometry, DFT PBE-GGA
data_VIn2Mo
_chemical_formula_sum 'V4 In8 Mo4'
_cell_length_a 6.663
_cell_length_b 6.663
_cell_length_c 6.663
_cell_angle_alpha 90.00
_cell_angle_beta 90.00
_cell_angle_gamma 90.00
_symmetry_space_group_name_H-M 'F m -3 m'
_symmetry_Int_Tables_number 225
_symmetry_space_group_name_Hall '-F 4 2 3'
loop_
_atom_site_label
_atom_site_type_symbol
_atom_site_fract_x
_atom_site_fract_y
_atom_site_fract_z
V1 V 0.000 0.000 0.000
In1 In 0.250 0.250 0.250
Mo1 Mo 0.000 0.000 0.500
# **Calculated density**: 8.46 g/cm3
# **Total moment**: 1.65 μB/cell


Stability summary: most stable b, least stable a.


a | # InMoW, optimized geometry, DFT PBE-GGA
data_InMoW
_chemical_formula_sum 'In2 Mo2 W2'
_cell_length_a 2.877
_cell_length_b 2.877
_cell_length_c 12.865
_cell_angle_alpha 90.00
_cell_angle_beta 90.00
_cell_angle_gamma 90.00
_symmetry_space_group_name_H-M 'I 4 m m'
_symmetry_Int_Tables_number 107
_symmetry_space_group_name_Hall 'I 4 -2'
loop_
_atom_site_label
_atom_site_type_symbol
_atom_site_fract_x
_atom_site_fract_y
_atom_site_fract_z
In1 In 0.000 0.000 0.000
Mo1 Mo 0.000 0.000 0.674
W1 W 0.000 0.000 0.325
# **Calculated density**: 12.31 g/cm3
# **Total moment**: 0.00 μB/cell


b | # InMoW, optimized geometry, DFT PBE-GGA
data_InMoW
_chemical_formula_sum 'In4 Mo4 W4'
_cell_length_a 6.293
_cell_length_b 6.293
_cell_length_c 6.293
_cell_angle_alpha 90.00
_cell_angle_beta 90.00
_cell_angle_gamma 90.00
_symmetry_space_group_name_H-M 'F -4 3 m'
_symmetry_Int_Tables_number 216
_symmetry_space_group_name_Hall 'F -4 2 3'
loop_
_atom_site_label
_atom_site_type_symbol
_atom_site_fract_x
_atom_site_fract_y
_atom_site_fract_z
In1 In 0.000 0.000 0.000
Mo1 Mo 0.250 0.250 0.750
W1 W 0.000 0.000 0.500
# **Calculated density**: 10.52 g/cm3
# **Total moment**: 0.00 μB/cell


Stability summary: most stable a, least stable b.


a | # InMoW, optimized geometry, DFT PBE-GGA
data_InMoW
_chemical_formula_sum 'In1 Mo1 W1'
_cell_length_a 4.6173
_cell_length_b 4.6173
_cell_length_c 2.8298
_cell_angle_alpha 90.00
_cell_angle_beta 90.00
_cell_angle_gamma 120.00
_symmetry_space_group_name_H-M 'P 3 m 1'
_symmetry_Int_Tables_number 156
_symmetry_space_group_name_Hall 'P 3 -2"'
loop_
_atom_site_label
_atom_site_type_symbol
_atom_site_fract_x
_atom_site_fract_y
_atom_site_fract_z
In1 In 0.0000 0.0000 0.0000
Mo1 Mo 0.6667 0.3333 0.3814
W1 W 0.3333 0.6667 0.6162
# **Calculated density**: 12.54 g/cm3
# **Total moment**: 0.00 μB/cell


b | # InMoW, optimized geometry, DFT PBE-GGA
data_InMoW
_chemical_formula_sum 'In2 Mo2 W2'
_cell_length_a 2.790
_cell_length_b 4.361
_cell_length_c 8.577
_cell_angle_alpha 90.00
_cell_angle_beta 90.00
_cell_angle_gamma 90.00
_symmetry_space_group_name_H-M 'I m m 2'
_symmetry_Int_Tables_number 44
_symmetry_space_group_name_Hall 'I 2 -2'
loop_
_atom_site_label
_atom_site_type_symbol
_atom_site_fract_x
_atom_site_fract_y
_atom_site_fract_z
In1 In 0.000 0.000 0.000
Mo1 Mo 0.000 0.000 0.667
W1 W 0.000 0.000 0.333
# **Calculated density**: 12.56 g/cm3
# **Total moment**: 0.00 μB/cell


c | # InMoW, optimized geometry, DFT PBE-GGA
data_InMoW
_chemical_formula_sum 'In2 Mo2 W2'
_cell_length_a 3.330
_cell_length_b 3.330
_cell_length_c 9.589
_cell_angle_alpha 90.00
_cell_angle_beta 90.00
_cell_angle_gamma 90.00
_symmetry_space_group_name_H-M 'I 4 m m'
_symmetry_Int_Tables_number 107
_symmetry_space_group_name_Hall 'I 4 -2'
loop_
_atom_site_label
_atom_site_type_symbol
_atom_site_fract_x
_atom_site_fract_y
_atom_site_fract_z
In1 In 0.000 0.000 0.000
Mo1 Mo 0.000 0.000 0.684
W1 W 0.000 0.000 0.315
# **Calculated density**: 12.33 g/cm3
# **Total moment**: 0.00 μB/cell


Stability summary: most stable c, least stable b.


a | # InMo3W, optimized geometry, DFT PBE-GGA
data_InMo3W
_chemical_formula_sum 'In1 Mo3 W1'
_cell_length_a 4.781
_cell_length_b 4.781
_cell_length_c 4.781
_cell_angle_alpha 90.00
_cell_angle_beta 90.00
_cell_angle_gamma 90.00
_symmetry_space_group_name_H-M 'P m -3 m'
_symmetry_Int_Tables_number 221
_symmetry_space_group_name_Hall '-P 4 2 3'
loop_
_atom_site_label
_atom_site_type_symbol
_atom_site_fract_x
_atom_site_fract_y
_atom_site_fract_z
In1 In 0.000 0.000 0.000
Mo1 Mo 0.000 0.500 0.500
W1 W 0.500 0.500 0.500
# **Calculated density**: 8.91 g/cm3
# **Total moment**: 0.00 μB/cell


b | # InMo3W, optimized geometry, DFT PBE-GGA
data_InMo3W
_chemical_formula_sum 'In1 Mo3 W1'
_cell_length_a 4.765
_cell_length_b 4.765
_cell_length_c 4.765
_cell_angle_alpha 90.00
_cell_angle_beta 90.00
_cell_angle_gamma 90.00
_symmetry_space_group_name_H-M 'P m -3 m'
_symmetry_Int_Tables_number 221
_symmetry_space_group_name_Hall '-P 4 2 3'
loop_
_atom_site_label
_atom_site_type_symbol
_atom_site_fract_x
_atom_site_fract_y
_atom_site_fract_z
In1 In 0.000 0.000 0.000
Mo1 Mo 0.000 0.000 0.500
W1 W 0.500 0.500 0.500
# **Calculated density**: 9.00 g/cm3
# **Total moment**: 0.00 μB/cell


Stability summary: most stable a, least stable b.


a | # YInMo, optimized geometry, DFT PBE-GGA
data_YInMo
_chemical_formula_sum 'Y2 In2 Mo2'
_cell_length_a 3.422
_cell_length_b 3.835
_cell_length_c 10.124
_cell_angle_alpha 90.00
_cell_angle_beta 90.00
_cell_angle_gamma 90.00
_symmetry_space_group_name_H-M 'I m m 2'
_symmetry_Int_Tables_number 44
_symmetry_space_group_name_Hall 'I 2 -2'
loop_
_atom_site_label
_atom_site_type_symbol
_atom_site_fract_x
_atom_site_fract_y
_atom_site_fract_z
Y1 Y 0.000 0.000 0.000
In1 In 0.000 0.000 0.695
Mo1 Mo 0.000 0.000 0.328
# **Calculated density**: 7.49 g/cm3
# **Total moment**: 0.00 μB/cell


b | # YInMo, optimized geometry, DFT PBE-GGA
data_YInMo
_chemical_formula_sum 'Y1 In1 Mo1'
_cell_length_a 4.9604
_cell_length_b 4.9604
_cell_length_c 3.1580
_cell_angle_alpha 90.00
_cell_angle_beta 90.00
_cell_angle_gamma 120.00
_symmetry_space_group_name_H-M 'P 3 m 1'
_symmetry_Int_Tables_number 156
_symmetry_space_group_name_Hall 'P 3 -2"'
loop_
_atom_site_label
_atom_site_type_symbol
_atom_site_fract_x
_atom_site_fract_y
_atom_site_fract_z
Y1 Y 0.0000 0.0000 0.0000
In1 In 0.6667 0.3333 0.4975
Mo1 Mo 0.3333 0.6667 0.5030
# **Calculated density**: 7.39 g/cm3
# **Total moment**: 0.00 μB/cell


Stability summary: most stable a, least stable b.